[1]
A relaxed Rb2TlIn crystal. Source: Alexandria, functional PBE-GGA.

Output
Its total magnetic moment is 0.00 μB per formula unit. Its energy above the most stable polymorph in this dataset is 1.05 kcal/mol of atoms. The calculation puts the energy of formation from the pure elements at -21 meV per atom.

Lattice parameters (Å, degrees): 7.162 7.162 5.241 111.30 111.30 56.25
Element x y z (fractional)
Rb 0.183 0.183 0.183
Rb 0.817 0.817 0.817
Tl 0.514 0.486 0.000
In 0.330 0.670 0.500

[2]
A relaxed Rb3Tl8In crystal. Source: Alexandria, functional PBE-GGA.

Output
Its total magnetic moment is 0.00 μB per formula unit. The calculation puts the energy of formation from the pure elements at -28 meV per atom.

Lattice parameters (Å, degrees): 11.577 11.577 11.577 34.04 34.04 34.04
Element x y z (fractional)
Rb 0.000 0.000 0.000
Rb 0.126 0.126 0.126
Rb 0.619 0.619 0.619
Tl 0.059 0.059 0.559
Tl 0.059 0.559 0.059
Tl 0.067 0.563 0.563
Tl 0.313 0.313 0.313
Tl 0.559 0.059 0.059
Tl 0.563 0.067 0.563
Tl 0.563 0.563 0.067
Tl 0.811 0.811 0.811
In 0.492 0.492 0.492

[3]
A relaxed RbTl2In2 crystal. Source: Alexandria, functional PBE-GGA.

Output
Its total magnetic moment is 0.00 μB per formula unit. Its energy above the most stable polymorph in this dataset is 0.00 kcal/mol of atoms. The calculation puts the energy of formation from the pure elements at -87 meV per atom.

Lattice parameters (Å, degrees): 7.333 7.333 7.333 138.06 138.06 60.81
Element x y z (fractional)
Rb 0.000 0.000 0.000
Tl 0.250 0.750 0.500
Tl 0.750 0.250 0.500
In 0.384 0.384 0.000
In 0.616 0.616 0.000

[4]
A relaxed Rb2Tl7In crystal. Source: Alexandria, functional PBE-GGA.

Output
Its total magnetic moment is 0.00 μB per formula unit. Its energy above the most stable polymorph in this dataset is 4.31 kcal/mol of atoms. The calculation puts the energy of formation from the pure elements at 131 meV per atom.

Lattice parameters (Å, degrees): 8.578 8.578 8.578 60.00 60.00 60.00
Element x y z (fractional)
Rb 0.250 0.250 0.250
Rb 0.750 0.750 0.750
Tl 0.000 0.000 0.000
Tl 0.254 0.254 0.746
Tl 0.254 0.746 0.254
Tl 0.254 0.746 0.746
Tl 0.746 0.254 0.254
Tl 0.746 0.254 0.746
Tl 0.746 0.746 0.254
In 0.500 0.500 0.500